1.
Below is a geometry-optimized Pr2Dy7Th3 structure, with properties calculated at the PBE level.

abc: 3.5112 6.3924 17.9245
angles: 75.96 90.00 90.00
Fractional coordinates of all 12 atoms:
Pr (0.5000, 0.3690, 0.6715)
Dy (0.5000, 0.7556, 0.5050)
Th (0.0000, 0.8743, 0.6622)
Dy (0.0000, 0.5551, 0.1628)
Pr (0.5000, 0.6310, 0.3285)
Dy (0.0000, 0.0000, 0.0000)
Dy (0.5000, 0.2444, 0.4950)
Dy (0.5000, 0.9276, 0.8334)
Dy (0.5000, 0.0724, 0.1666)
Dy (0.0000, 0.4449, 0.8372)
Th (0.5000, 0.5000, 0.0000)
Th (0.0000, 0.1257, 0.3378)

Computed properties:
* DOS(E_F): 17.6 states/eV/f.u.
* energy: -5.236 eV/atom
* magnetic moment: 0.00 μB/f.u.

---

2.
Below is a geometry-optimized Ba2NaSnS4 structure, with properties calculated at the PBE level.

abc: 4.3925 7.2339 7.4437
angles: 70.99 90.00 90.00
Fractional coordinates of all 8 atoms:
S (0.0000, 0.2822, 0.2342)
S (0.0000, 0.7178, 0.7658)
S (0.5000, 0.7211, 0.2414)
Ba (0.0000, 0.0000, 0.0000)
Na (0.0000, 0.5000, 0.5000)
Ba (0.5000, 0.0000, 0.5000)
S (0.5000, 0.2789, 0.7586)
Sn (0.5000, 0.5000, 0.0000)

Computed properties:
* DOS(E_F): 4.5 states/eV/f.u.
* raw formation energy: -1.28 eV per atom
* magnetic moment: 0.00 μB/f.u.

---

3.
Below is a geometry-optimized Ni3H3Rh structure, with properties calculated at the PBE level.

abc: 3.7947 3.7947 3.7947
angles: 90.00 90.00 90.00
Fractional coordinates of all 7 atoms:
Ni (0.0000, 0.5000, 0.0000)
Rh (0.5000, 0.5000, 0.5000)
H (0.5000, 0.0000, 0.5000)
H (0.5000, 0.5000, 0.0000)
Ni (0.0000, 0.0000, 0.5000)
H (0.0000, 0.5000, 0.5000)
Ni (0.5000, 0.0000, 0.0000)

Computed properties:
* DOS(E_F): 9.7 states/eV/f.u.
* magnetic moment: 1.73 μB/f.u.
* excess energy over the best structure of this formula in the dataset: 0.009 eV per atom

---

4.
Below is a geometry-optimized Cs2BeTe2H structure, with properties calculated at the PBE level.

abc: 6.8189 8.0692 9.2188
angles: 115.95 111.71 90.00
Fractional coordinates of all 12 atoms:
Te (0.5902, 0.4345, 0.1803)
Cs (0.8602, 0.6971, 0.7204)
Cs (0.6398, 0.9767, 0.2796)
Te (0.9098, 0.2542, 0.8197)
Te (0.0902, 0.7458, 0.1803)
Cs (0.1398, 0.3029, 0.2796)
H (0.2500, 0.0000, 0.0000)
Be (0.2500, 0.5000, 0.0000)
Te (0.4098, 0.5655, 0.8197)
Cs (0.3602, 0.0233, 0.7204)
H (0.7500, 0.0000, 0.0000)
Be (0.7500, 0.5000, 0.0000)

Computed properties:
* DOS(E_F): 3.2 states/eV/f.u.
* energy: -2.871 eV/atom
* magnetic moment: 0.93 μB/f.u.

---

5.
Below is a geometry-optimized PmMg3Ru structure, with properties calculated at the PBE level.

abc: 5.4172 5.9656 7.7891
angles: 90.00 114.89 90.00
Fractional coordinates of all 10 atoms:
Mg (0.1566, 0.9476, 0.3988)
Ru (0.8878, 0.4476, 0.8126)
Pm (0.7101, 0.9476, 0.8698)
Mg (0.7264, 0.6964, 0.4866)
Ru (0.1465, 0.9476, 0.7480)
Pm (0.3242, 0.4476, 0.6908)
Mg (0.3079, 0.1964, 0.0740)
Mg (0.7264, 0.1988, 0.4866)
Mg (0.8777, 0.4476, 0.1618)
Mg (0.3079, 0.6989, 0.0740)

Computed properties:
* DOS(E_F): 3.5 states/eV/f.u.
* magnetic moment: 0.00 μB/f.u.
* excess energy over the best structure of this formula in the dataset: 0.000 eV per atom

---

6.
Below is a geometry-optimized SiHgOs4 structure, with properties calculated at the PBE level.

abc: 5.2263 5.2263 5.2263
angles: 60.00 60.00 60.00
Fractional coordinates of all 6 atoms:
Os (0.3754, 0.3754, 0.8739)
Os (0.8739, 0.3754, 0.3754)
Os (0.3754, 0.3754, 0.3754)
Os (0.3754, 0.8739, 0.3754)
Si (0.7500, 0.7500, 0.7500)
Hg (0.0000, 0.0000, 0.0000)

Computed properties:
* DOS(E_F): 9.8 states/eV/f.u.
* raw formation energy: 1.07 eV per atom
* magnetic moment: 0.21 μB/f.u.

---

7.
Below is a geometry-optimized Li2CeCuSe4 structure, with properties calculated at the PBE level.

abc: 4.0045 6.7245 13.3261
angles: 90.00 90.00 107.32
Fractional coordinates of all 16 atoms:
Cu (0.1758, 0.3516, 0.2500)
Se (0.6927, 0.3854, 0.8790)
Se (0.3073, 0.6146, 0.3790)
Se (0.0000, 0.0000, 0.0000)
Se (0.6927, 0.3854, 0.6210)
Ce (0.0961, 0.1921, 0.7500)
Se (0.3073, 0.6146, 0.1210)
Li (0.6118, 0.2236, 0.4411)
Se (0.0000, 0.0000, 0.5000)
Li (0.3882, 0.7764, 0.5589)
Se (0.5721, 0.1443, 0.2500)
Cu (0.8242, 0.6484, 0.7500)
Li (0.3882, 0.7764, 0.9411)
Ce (0.9039, 0.8079, 0.2500)
Se (0.4279, 0.8557, 0.7500)
Li (0.6118, 0.2236, 0.0589)

Computed properties:
* DOS(E_F): 4.4 states/eV/f.u.
* raw formation energy: -1.02 eV per atom
* magnetic moment: 0.00 μB/f.u.

---

8.
Below is a geometry-optimized RuRh2AuF structure, with properties calculated at the PBE level.

abc: 4.9510 4.9905 4.9510
angles: 90.00 90.00 90.00
Fractional coordinates of all 5 atoms:
Au (0.0000, 0.0000, 0.0000)
Ru (0.0000, 0.5000, 0.0000)
Rh (0.5000, 0.0000, 0.0000)
F (0.5000, 0.5000, 0.5000)
Rh (0.0000, 0.0000, 0.5000)

Computed properties:
* DOS(E_F): 11.2 states/eV/f.u.
* raw formation energy: 1.73 eV per atom
* magnetic moment: 5.44 μB/f.u.

---

9.
Below is a geometry-optimized Nd6Ge2AsBr3 structure, with properties calculated at the PBE level.

abc: 7.4295 7.4295 7.7198
angles: 99.21 99.21 120.02
Fractional coordinates of all 12 atoms:
Nd (0.0703, 0.4051, 0.2114)
Ge (0.6667, 0.3333, 0.0000)
Nd (0.2647, 0.2647, 0.7888)
Nd (0.9297, 0.5949, 0.7886)
Br (0.1675, 0.8325, 0.5000)
Nd (0.5949, 0.9297, 0.7886)
Br (0.8325, 0.1675, 0.5000)
Nd (0.7353, 0.7353, 0.2112)
As (0.0000, 0.0000, 0.0000)
Nd (0.4051, 0.0703, 0.2114)
Br (0.5000, 0.5000, 0.5000)
Ge (0.3333, 0.6667, 0.0000)

Computed properties:
* DOS(E_F): 5.4 states/eV/f.u.
* raw formation energy: -1.25 eV per atom
* magnetic moment: 0.00 μB/f.u.

---

10.
Below is a geometry-optimized PrTm3Tl4 structure, with properties calculated at the PBE level.

abc: 3.4820 7.2603 10.1062
angles: 111.04 99.92 90.00
Fractional coordinates of all 8 atoms:
Tm (0.7809, 0.7813, 0.5617)
Tm (0.2191, 0.2187, 0.4383)
Pr (0.5000, 0.0000, 0.0000)
Tl (0.6298, 0.4175, 0.2596)
Tl (0.3703, 0.1584, 0.7406)
Tl (0.6297, 0.8416, 0.2594)
Tm (0.0000, 0.5000, 0.0000)
Tl (0.3702, 0.5825, 0.7404)

Computed properties:
* DOS(E_F): 7.0 states/eV/f.u.
* magnetic moment: 0.00 μB/f.u.
* excess energy over the best structure of this formula in the dataset: 0.129 eV per atom

---

11.
Below is a geometry-optimized KHg4Ru structure, with properties calculated at the PBE level.

abc: 5.9342 5.9342 5.9342
angles: 60.00 60.00 60.00
Fractional coordinates of all 6 atoms:
Hg (0.6259, 0.6259, 0.1224)
Hg (0.6259, 0.6259, 0.6259)
K (0.2500, 0.2500, 0.2500)
Hg (0.1224, 0.6259, 0.6259)
Ru (0.0000, 0.0000, 0.0000)
Hg (0.6259, 0.1224, 0.6259)

Computed properties:
* DOS(E_F): 7.1 states/eV/f.u.
* energy: -1.402 eV/atom
* magnetic moment: 1.97 μB/f.u.

---

12.
Below is a geometry-optimized TmNiP2 structure, with properties calculated at the PBE level.

abc: 3.7195 3.7195 9.6689
angles: 101.15 101.15 89.67
Fractional coordinates of all 8 atoms:
P (0.5096, 0.9480, 0.0000)
P (0.3273, 0.3273, 0.6407)
P (0.6866, 0.6866, 0.3593)
Tm (0.1256, 0.1256, 0.2357)
Ni (0.7563, 0.2563, 0.5000)
Ni (0.2563, 0.7563, 0.5000)
Tm (0.8899, 0.8899, 0.7643)
P (0.9480, 0.5096, 0.0000)

Computed properties:
* DOS(E_F): 3.5 states/eV/f.u.
* energy: -6.217 eV/atom
* magnetic moment: 0.00 μB/f.u.

---

13.
Below is a geometry-optimized Tb6Sn2SbSe3 structure, with properties calculated at the PBE level.

abc: 4.2722 8.5352 9.5331
angles: 102.68 102.95 90.00
Fractional coordinates of all 12 atoms:
Sn (0.1671, 0.3338, 0.3341)
Se (0.5000, 0.5000, 0.0000)
Tb (0.6689, 0.0818, 0.3377)
Sb (0.5000, 0.0000, 0.0000)
Tb (0.3351, 0.4128, 0.6702)
Tb (0.9999, 0.7443, 0.9999)
Tb (0.3311, 0.9182, 0.6623)
Se (0.1654, 0.8339, 0.3308)
Se (0.8346, 0.1661, 0.6692)
Tb (0.6649, 0.5872, 0.3298)
Tb (0.0001, 0.2557, 0.0001)
Sn (0.8329, 0.6662, 0.6659)

Computed properties:
* DOS(E_F): 2.6 states/eV/f.u.
* raw formation energy: -1.32 eV per atom
* magnetic moment: 0.00 μB/f.u.

---

14.
Below is a geometry-optimized SrTl2Os structure, with properties calculated at the PBE level.

abc: 5.8127 5.8127 3.2317
angles: 90.00 90.00 114.96
Fractional coordinates of all 4 atoms:
Os (0.5000, 0.0000, 0.5000)
Tl (0.0000, 0.0000, 0.0000)
Tl (0.5000, 0.5000, 0.0000)
Sr (0.0000, 0.5000, 0.5000)

Computed properties:
* DOS(E_F): 2.7 states/eV/f.u.
* energy: -3.632 eV/atom
* magnetic moment: 1.35 μB/f.u.

---

15.
Below is a geometry-optimized Cr2NiHPd structure, with properties calculated at the PBE level.

abc: 3.6257 3.6257 3.9554
angles: 90.00 90.00 90.00
Fractional coordinates of all 5 atoms:
Cr (0.5000, 0.0000, 0.0000)
Cr (0.0000, 0.5000, 0.0000)
H (0.0000, 0.0000, 0.0000)
Pd (0.0000, 0.0000, 0.5000)
Ni (0.5000, 0.5000, 0.5000)

Computed properties:
* DOS(E_F): 6.2 states/eV/f.u.
* magnetic moment: 0.82 μB/f.u.
* excess energy over the best structure of this formula in the dataset: 0.054 eV per atom

---

16.
Below is a geometry-optimized AlCdPb2 structure, with properties calculated at the PBE level.

abc: 4.6476 4.6476 6.7255
angles: 69.79 69.79 60.00
Fractional coordinates of all 4 atoms:
Pb (0.2622, 0.2622, 0.2135)
Al (0.6648, 0.6648, 0.0056)
Pb (0.0726, 0.0726, 0.7823)
Cd (0.5005, 0.5005, 0.4986)

Computed properties:
* DOS(E_F): 1.9 states/eV/f.u.
* energy: -2.815 eV/atom
* magnetic moment: 0.00 μB/f.u.

---

17.
Below is a geometry-optimized MgTe structure, with properties calculated at the PBE level.

abc: 8.6290 8.6290 8.6290
angles: 31.40 31.40 31.40
Fractional coordinates of all 4 atoms:
Mg (0.8760, 0.8760, 0.8760)
Te (0.2423, 0.2423, 0.2423)
Te (0.7577, 0.7577, 0.7577)
Mg (0.1240, 0.1240, 0.1240)

Computed properties:
* DOS(E_F): 0.0 states/eV/f.u.
* raw formation energy: -0.83 eV per atom
* magnetic moment: 0.00 μB/f.u.

---

18.
Below is a geometry-optimized Sr3PrAg4 structure, with properties calculated at the PBE level.

abc: 3.8887 3.8887 15.6664
angles: 90.00 90.00 90.00
Fractional coordinates of all 8 atoms:
Sr (0.5000, 0.5000, 0.7546)
Ag (0.0000, 0.0000, 0.3734)
Ag (0.0000, 0.0000, 0.8913)
Ag (0.0000, 0.0000, 0.6266)
Sr (0.5000, 0.5000, 0.5000)
Ag (0.0000, 0.0000, 0.1087)
Pr (0.5000, 0.5000, 0.0000)
Sr (0.5000, 0.5000, 0.2454)

Computed properties:
* DOS(E_F): 7.0 states/eV/f.u.
* energy: -2.915 eV/atom
* magnetic moment: 0.00 μB/f.u.

---

19.
Below is a geometry-optimized KHfBi2 structure, with properties calculated at the PBE level.

abc: 3.5055 3.5055 9.5981
angles: 90.00 90.00 90.00
Fractional coordinates of all 4 atoms:
Bi (0.0000, 0.0000, 0.2121)
K (0.5000, 0.5000, 0.5000)
Hf (0.5000, 0.5000, 0.0000)
Bi (0.0000, 0.0000, 0.7879)

Computed properties:
* DOS(E_F): 1.9 states/eV/f.u.
* magnetic moment: 0.00 μB/f.u.
* excess energy over the best structure of this formula in the dataset: 0.011 eV per atom

---

20.
Below is a geometry-optimized ZrSi23 structure, with properties calculated at the PBE level.

abc: 10.1894 10.1894 10.1894
angles: 90.00 90.00 90.00
Fractional coordinates of all 48 atoms:
Si (0.5000, 0.7500, 0.0000)
Si (0.0000, 0.5000, 0.7500)
Si (0.3842, 0.8077, 0.5000)
Si (0.8184, 0.1816, 0.8184)
Si (0.8077, 0.5000, 0.3842)
Si (0.7500, 0.0000, 0.5000)
Si (0.5000, 0.6158, 0.1923)
Si (0.5000, 0.2500, 0.0000)
Si (0.3184, 0.3184, 0.6816)
Si (0.6816, 0.3184, 0.6816)
Si (0.0000, 0.3077, 0.1158)
Si (0.1816, 0.1816, 0.8184)
Si (0.6158, 0.8077, 0.5000)
Zr (0.0000, 0.0000, 0.0000)
Si (0.1158, 0.0000, 0.6923)
Si (0.0000, 0.6923, 0.8842)
Si (0.3184, 0.3184, 0.3184)
Si (0.8842, 0.0000, 0.6923)
Si (0.6923, 0.8842, 0.0000)
Si (0.2500, 0.0000, 0.5000)
Si (0.8077, 0.5000, 0.6158)
Si (0.8842, 0.0000, 0.3077)
Si (0.3184, 0.6816, 0.3184)
Si (0.3842, 0.1923, 0.5000)
Si (0.3184, 0.6816, 0.6816)
Si (0.6816, 0.6816, 0.3184)
Si (0.6923, 0.1158, 0.0000)
Si (0.1923, 0.5000, 0.3842)
Si (0.5000, 0.3842, 0.1923)
Si (0.0000, 0.3077, 0.8842)
Si (0.1816, 0.8184, 0.8184)
Si (0.8184, 0.8184, 0.8184)
Si (0.6816, 0.3184, 0.3184)
Si (0.8184, 0.8184, 0.1816)
Si (0.1816, 0.8184, 0.1816)
Si (0.6816, 0.6816, 0.6816)
Si (0.5000, 0.3842, 0.8077)
Si (0.1158, 0.0000, 0.3077)
Si (0.6158, 0.1923, 0.5000)
Zr (0.5000, 0.5000, 0.5000)
Si (0.1923, 0.5000, 0.6158)
Si (0.0000, 0.6923, 0.1158)
Si (0.8184, 0.1816, 0.1816)
Si (0.0000, 0.5000, 0.2500)
Si (0.3077, 0.8842, 0.0000)
Si (0.1816, 0.1816, 0.1816)
Si (0.5000, 0.6158, 0.8077)
Si (0.3077, 0.1158, 0.0000)

Computed properties:
* DOS(E_F): 8.2 states/eV/f.u.
* raw formation energy: 0.13 eV per atom
* magnetic moment: 1.49 μB/f.u.

---

21.
Below is a geometry-optimized Cd6SbO8 structure, with properties calculated at the PBE level.

abc: 6.7918 6.7918 6.7918
angles: 60.00 60.00 60.00
Fractional coordinates of all 15 atoms:
O (0.7500, 0.7500, 0.7500)
O (0.7865, 0.7865, 0.2135)
Cd (0.0000, 0.0000, 0.5000)
Cd (0.5000, 0.0000, 0.5000)
Cd (0.5000, 0.0000, 0.0000)
O (0.2135, 0.2135, 0.7865)
O (0.2135, 0.7865, 0.7865)
O (0.2135, 0.7865, 0.2135)
Cd (0.5000, 0.5000, 0.0000)
O (0.7865, 0.2135, 0.7865)
Cd (0.0000, 0.5000, 0.5000)
Sb (0.0000, 0.0000, 0.0000)
Cd (0.0000, 0.5000, 0.0000)
O (0.7865, 0.2135, 0.2135)
O (0.2500, 0.2500, 0.2500)

Computed properties:
* DOS(E_F): 0.9 states/eV/f.u.
* raw formation energy: -1.13 eV per atom
* magnetic moment: 0.00 μB/f.u.

---

22.
Below is a geometry-optimized Rb2MnP2 structure, with properties calculated at the PBE level.

abc: 3.4444 3.4444 15.2645
angles: 90.00 90.00 90.00
Fractional coordinates of all 5 atoms:
Mn (0.5000, 0.5000, 0.0000)
P (0.5000, 0.5000, 0.1489)
Rb (0.5000, 0.5000, 0.3521)
P (0.5000, 0.5000, 0.8511)
Rb (0.5000, 0.5000, 0.6479)

Computed properties:
* DOS(E_F): 3.5 states/eV/f.u.
* energy: -3.541 eV/atom
* magnetic moment: 4.00 μB/f.u.